[1]
{"formula": "SmYGaRu", "functional": "PBE-GGA", "state": "optimized geometry", "total_energy_ev_per_cell": -25.284, "relative_energy_mev_per_atom": 0, "cell": [[4.370, 0.000, 0.000], [0.000, 1.985, 5.380], [0.000, -1.985, 5.380]], "species": ["Sm", "Y", "Ga", "Ru"], "fractional_positions": [[0.000, 0.000, 0.000], [0.500, 0.716, 0.716], [0.500, 0.421, 0.421], [0.000, 0.289, 0.289]]}

[2]
{"formula": "SmZn2GaRu", "functional": "PBE-GGA", "state": "optimized geometry", "total_energy_ev_per_cell": -21.050, "cell": [[-1.859, 2.134, 5.735], [1.859, -2.134, 5.735], [1.859, 2.134, -5.735]], "species": ["Sm", "Zn", "Zn", "Ga", "Ru"], "fractional_positions": [[0.000, 0.000, 0.000], [0.601, 0.601, 0.000], [0.751, 0.251, 0.500], [0.376, 0.376, 0.000], [0.226, 0.726, 0.500]]}

no.,total magnetization (μB/cell),energy of formation (eV per atom)
1,0.00,-0.450
2,0.00,-0.296